(i)
This record from the Alexandria database describes a geometry-optimized Ba2SiSe2 structure. The functional is PBE.

Computed properties:
magnetization: 2.00 μB/cell
symmetry: I4/mmm, No. 139
theoretical density: 3.953 Mg/m³

```
Ba2SiSe2
1.0
6.4067 0.0000 0.0000
0.0000 6.4067 0.0000
3.2033 3.2033 4.7150
Se Si Ba
2 1 2
Cartesian
6.4067 6.4067 2.7389
3.2033 3.2033 1.9761
0.0000 0.0000 0.0000
6.4067 3.2033 2.3575
3.2033 6.4067 2.3575
```



(ii)
This record from the Alexandria database describes a geometry-optimized Ba2SiSe2 structure. The functional is PBE.

Computed properties:
magnetization: 0.00 μB/cell
symmetry: P4/mbm, No. 127
theoretical density: 4.909 Mg/m³

```
Ba2SiSe2
1.0
-5.2349 -3.5041 -5.3357
6.1867 -4.4854 -3.1240
-0.8713 -3.3121 3.0300
Ba Si Se
4 2 4
Cartesian
1.3182 -7.7376 -4.6285
-1.2377 -3.5641 -0.8014
2.8090 -5.1686 -1.3917
-2.7285 -6.1330 -4.0381
0.0000 0.0000 0.0000
0.4759 -3.9948 -4.2299
-2.4677 -3.0094 -3.9992
-0.3442 -5.9013 -6.5497
3.4194 -4.9802 -4.4606
1.2960 -2.0883 -1.9101
```



Tell me which of them is the most stable. Sure, it is (ii).



(i)
This record from the Alexandria database describes a geometry-optimized BaSi3Se structure. The functional is PBE.

Computed properties:
magnetization: 1.28 μB/cell
symmetry: Pm-3m, No. 221
theoretical density: 2.634 Mg/m³

```
BaSi3Se
1.0
5.7436 0.0000 0.0000
0.0000 5.7436 0.0000
0.0000 0.0000 5.7436
Si Ba Se
3 1 1
Cartesian
0.0000 2.8718 0.0000
0.0000 0.0000 2.8718
2.8718 0.0000 0.0000
0.0000 0.0000 0.0000
2.8718 2.8718 2.8718
```



(ii)
This record from the Alexandria database describes a geometry-optimized BaSi3Se structure. The functional is PBE.

Computed properties:
magnetization: 0.00 μB/cell
symmetry: Pm-3m, No. 221
theoretical density: 3.701 Mg/m³

```
BaSi3Se
1.0
-2.4410 4.3402 1.2245
-4.2406 -1.7356 -2.3021
-1.5341 -2.1085 4.4154
Si Se Ba
3 1 1
Cartesian
-2.1203 -0.8678 -1.1511
-0.7670 -1.0542 2.2077
-1.2205 2.1701 0.6122
0.0000 0.0000 0.0000
-4.1079 0.2481 1.6689
```



Tell me which of them is the most stable. Sure, it is (ii).



(i)
This record from the Alexandria database describes a geometry-optimized BaSmSe2 structure. The functional is PBE.

Computed properties:
magnetization: 0.00 μB/cell
symmetry: R3m, No. 160
theoretical density: 6.026 Mg/m³

```
BaSmSe2
1.0
4.2803 0.0000 0.0000
2.1401 3.7068 0.0000
2.1401 1.2356 7.7393
Se Ba Sm
2 1 1
Cartesian
2.1401 1.2356 1.6684
2.1401 1.2356 6.0484
4.2803 2.4712 3.9567
6.4204 3.7068 7.6746
```



(ii)
This record from the Alexandria database describes a geometry-optimized BaSmSe2 structure. The functional is PBE.

Computed properties:
magnetization: 0.00 μB/cell
symmetry: C2/m, No. 12
theoretical density: 6.074 Mg/m³

```
BaSmSe2
1.0
-0.1593 1.8560 3.9336
-3.6352 -0.2500 2.3804
1.1879 -5.7711 5.1666
Sm Se Ba
1 2 1
Cartesian
0.0000 0.0000 0.0000
-0.7281 -0.8444 2.7743
-1.8784 -3.3207 8.7062
-1.3033 -2.0826 5.7403
```



Tell me which of them is the most stable. Sure, it is (ii).



(i)
This record from the Alexandria database describes a geometry-optimized Ba2SnSe3 structure. The functional is PBE.

Computed properties:
magnetization: 0.00 μB/cell
symmetry: Immm, No. 71
theoretical density: 5.070 Mg/m³

```
Ba2SnSe3
1.0
-0.9567 -1.5939 -3.9253
-2.2233 -4.3232 2.2973
-6.2189 7.0935 1.0383
Ba Se Sn
2 3 1
Cartesian
-3.9415 -1.7134 -0.7465
-5.4574 2.8898 0.1567
-2.5809 1.3666 0.0741
-1.1116 -2.1616 1.1487
-6.8180 -0.1902 -0.6639
0.0000 0.0000 0.0000
```



(ii)
This record from the Alexandria database describes a geometry-optimized Ba2SnSe3 structure. The functional is PBE.

Computed properties:
magnetization: 0.00 μB/cell
symmetry: C2/c, No. 15
theoretical density: 4.822 Mg/m³

```
Ba2SnSe3
1.0
-4.2083 5.6270 3.3577
-7.1342 -1.7455 2.5891
3.0977 -1.9865 7.2620
Ba Se Sn
4 6 2
Cartesian
-5.7958 -0.1576 9.3159
-1.9099 -1.4853 7.2587
-6.3348 3.3803 5.9502
-2.4489 2.0526 3.8930
-9.3997 3.2213 4.9308
-5.2361 0.5892 4.6998
1.1550 -1.3263 8.2780
-0.3905 -0.3246 4.6479
-3.0086 1.3058 8.5090
-7.8541 2.2196 8.5609
-2.0483 3.7255 8.7613
-6.1964 -1.8305 4.4475
```



Tell me which of them is the most stable. Sure, it is (i).



(i)
This record from the Alexandria database describes a geometry-optimized BaSnSe3 structure. The functional is PBE.

Computed properties:
magnetization: 0.00 μB/cell
symmetry: Pm-3m, No. 221
theoretical density: 5.293 Mg/m³

```
BaSnSe3
1.0
-1.3480 4.5567 2.4957
-5.1080 -0.6915 -1.4964
-0.9489 -2.7509 4.5102
Ba Se Sn
1 3 1
Cartesian
-3.7025 0.5571 2.7547
-2.5540 -0.3458 -0.7482
-0.6740 2.2784 1.2478
-0.4744 -1.3754 2.2551
0.0000 0.0000 0.0000
```



(ii)
This record from the Alexandria database describes a geometry-optimized BaSnSe3 structure. The functional is PBE.

Computed properties:
magnetization: 0.00 μB/cell
symmetry: P2_1/m, No. 11
theoretical density: 5.287 Mg/m³

```
BaSnSe3
1.0
6.3909 0.0000 -1.1566
0.0000 7.3094 0.0000
-3.9142 0.0000 7.3369
Se Sn Ba
6 2 2
Cartesian
3.1796 3.4315 1.2423
-0.7030 3.8779 4.9380
0.0802 5.4820 1.1218
2.3965 1.8273 5.0586
-0.7030 7.0862 4.9380
3.1796 0.2232 1.2423
3.9424 5.4820 -0.2756
-1.4658 1.8273 6.4560
2.5351 5.4820 3.9977
-0.0585 1.8273 2.1826
```



(iii)
This record from the Alexandria database describes a geometry-optimized BaSnSe3 structure. The functional is PBE.

Computed properties:
magnetization: 0.00 μB/cell
symmetry: P2_1/c, No. 14
theoretical density: 5.175 Mg/m³

```
BaSnSe3
1.0
-6.5286 -2.2652 0.8248
2.7139 -7.0473 2.1273
-0.2383 4.5887 10.7164
Se Ba Sn
12 4 4
Cartesian
-5.5086 -3.0605 2.1096
-0.5057 2.5300 7.2275
-3.1776 -5.4341 2.9797
1.4556 -1.6632 11.5589
-0.5370 -1.5079 5.3028
-0.6658 -4.7349 6.4837
-1.3543 -4.1571 11.5072
-2.6987 -0.5666 2.1614
-3.5160 -3.2158 8.3657
-3.3872 0.0112 7.1848
-0.8754 0.7104 10.6888
-3.5473 -7.2537 6.4410
0.2387 -4.3823 3.2193
-0.1729 -2.1894 8.6144
-4.2917 -0.3414 10.4492
-3.8801 -2.5343 5.0541
-2.6546 -5.6648 8.3105
-2.3491 -7.8945 2.9287
-1.3984 0.9410 5.3580
-1.7039 3.1708 10.7398
```



(iv)
This record from the Alexandria database describes a geometry-optimized BaSnSe3 structure. The functional is PBE.

Computed properties:
magnetization: 1.88 μB/cell
symmetry: Pm-3m, No. 221
theoretical density: 3.904 Mg/m³

```
BaSnSe3
1.0
5.9405 0.0000 0.0000
0.0000 5.9405 0.0000
0.0000 0.0000 5.9405
Se Sn Ba
3 1 1
Cartesian
2.9702 0.0000 0.0000
0.0000 0.0000 2.9702
0.0000 2.9702 0.0000
2.9702 2.9702 2.9702
0.0000 0.0000 0.0000
```



Tell me which of them is the most stable. Sure, it is (iii).



(i)
This record from the Alexandria database describes a geometry-optimized BaSr2Se2 structure. The functional is PBE.

Computed properties:
magnetization: 0.00 μB/cell
symmetry: I4/mmm, No. 139
theoretical density: 3.855 Mg/m³

```
BaSr2Se2
1.0
-4.4486 -1.5813 -3.1498
1.9500 -5.3294 -0.0786
-4.5040 -4.7233 3.6191
Sr Se Ba
2 2 1
Cartesian
-4.6645 -7.7545 0.2542
-2.3381 -3.8795 0.1366
-1.9016 -6.7540 0.9632
-5.1009 -4.8800 -0.5724
0.0000 0.0000 0.0000
```



(ii)
This record from the Alexandria database describes a geometry-optimized BaSr2Se2 structure. The functional is PBE.

Computed properties:
magnetization: 0.00 μB/cell
symmetry: P4/mmm, No. 123
theoretical density: 3.239 Mg/m³

```
BaSr2Se2
1.0
6.1306 0.0000 0.0000
0.0000 6.1306 0.0000
0.0000 0.0000 6.4184
Se Sr Ba
2 2 1
Cartesian
0.0000 3.0653 0.0000
3.0653 0.0000 0.0000
0.0000 0.0000 3.2092
3.0653 3.0653 3.2092
0.0000 0.0000 0.0000
```



(iii)
This record from the Alexandria database describes a geometry-optimized BaSr2Se2 structure. The functional is PBE.

Computed properties:
magnetization: 0.00 μB/cell
symmetry: P4/mbm, No. 127
theoretical density: 4.711 Mg/m³

```
BaSr2Se2
1.0
8.6618 0.0000 0.0000
0.0000 8.6618 0.0000
0.0000 0.0000 4.4209
Sr Se Ba
4 4 2
Cartesian
1.3530 5.6840 2.2105
2.9779 1.3530 2.2105
5.6840 7.3088 2.2105
7.3088 2.9779 2.2105
7.3590 5.6337 0.0000
3.0281 7.3590 0.0000
1.3028 3.0281 0.0000
5.6337 1.3028 0.0000
0.0000 0.0000 0.0000
4.3309 4.3309 0.0000
```



Tell me which of them is the most stable. Sure, it is (iii).



(i)
This record from the Alexandria database describes a geometry-optimized BaSr2Se structure. The functional is PBE.

Computed properties:
magnetization: 0.30 μB/cell
symmetry: Cmmm, No. 65
theoretical density: 3.346 Mg/m³

```
BaSr2Se
1.0
4.3263 0.0000 0.0000
0.0000 7.4082 -0.0109
0.0000 4.2706 6.0563
Sr Se Ba
2 1 1
Cartesian
0.0000 10.7127 5.5466
0.0000 6.8055 3.5216
2.1631 8.7591 4.5341
2.1631 2.9197 1.5114
```



(ii)
This record from the Alexandria database describes a geometry-optimized BaSr2Se structure. The functional is PBE.

Computed properties:
magnetization: 0.00 μB/cell
symmetry: Immm, No. 71
theoretical density: 3.807 Mg/m³

```
BaSr2Se
1.0
7.6913 0.0016 -0.0131
6.6144 3.9251 -0.0131
2.5385 0.6968 5.6545
Ba Se Sr
1 1 2
Cartesian
12.6331 3.4677 4.2211
4.2110 1.1559 1.4070
13.5037 3.7067 0.3604
9.2241 2.5319 2.4274
```



(iii)
This record from the Alexandria database describes a geometry-optimized BaSr2Se structure. The functional is PBE.

Computed properties:
magnetization: 0.01 μB/cell
symmetry: R3m, No. 160
theoretical density: 3.425 Mg/m³

```
BaSr2Se
1.0
11.5653 0.0054 0.0032
10.7232 4.3322 0.0032
10.7232 2.0869 3.7964
Ba Se Sr
1 1 2
Cartesian
15.6661 3.0488 1.8047
24.6362 4.7945 2.8380
8.3354 1.6222 0.9602
0.8799 0.1712 0.1014
```



Tell me which of them is the most stable. Sure, it is (iii).



(i)
This record from the Alexandria database describes a geometry-optimized Ba2SrSe2 structure. The functional is PBE.

Computed properties:
magnetization: 0.00 μB/cell
symmetry: P4/mbm, No. 127
theoretical density: 4.874 Mg/m³

```
Ba2SrSe2
1.0
-0.3062 -6.1046 -6.2373
-5.4577 -4.7363 4.9036
-3.6245 2.1660 -1.9419
Se Ba Sr
4 4 2
Cartesian
-1.0578 -4.7539 -3.3280
-3.8436 -8.2580 -2.0369
-4.7061 -6.0871 1.9943
-1.9203 -2.5829 0.7031
-6.6307 -6.9161 -0.8996
-3.9608 -5.7224 -4.5513
-5.4276 -2.9526 1.2757
-2.7577 -1.7589 -2.3761
-2.8820 -5.4205 -0.6669
0.0000 0.0000 0.0000
```



(ii)
This record from the Alexandria database describes a geometry-optimized Ba2SrSe2 structure. The functional is PBE.

Computed properties:
magnetization: 0.00 μB/cell
symmetry: I4/mmm, No. 139
theoretical density: 2.977 Mg/m³

```
Ba2SrSe2
1.0
-0.4098 5.7666 2.7671
-6.3961 -0.3761 -0.1635
-3.3861 -0.3594 7.6703
Ba Sr Se
2 1 2
Cartesian
-6.5926 0.9798 4.4043
-3.5995 4.0512 5.8696
0.0000 0.0000 0.0000
-3.3933 0.9355 4.9706
-6.7988 4.0956 5.3033
```



Tell me which of them is the most stable. Sure, it is (i).



(i)
This record from the Alexandria database describes a geometry-optimized BaTaSe structure. The functional is PBE.

Computed properties:
magnetization: 1.07 μB/cell
symmetry: P-6m2, No. 187
theoretical density: 7.271 Mg/m³

```
BaTaSe
1.0
4.4228 0.0000 0.0000
-2.2114 3.8303 0.0000
0.0000 0.0000 5.3551
Ba Se Ta
1 1 1
Cartesian
0.0000 0.0000 5.3545
2.2114 1.2768 2.6781
0.0000 2.5535 2.6776
```



(ii)
This record from the Alexandria database describes a geometry-optimized BaTaSe structure. The functional is PBE.

Computed properties:
magnetization: 1.35 μB/cell
symmetry: F-43m, No. 216
theoretical density: 7.446 Mg/m³

```
BaTaSe
1.0
5.0037 0.0000 0.0000
2.5018 4.3333 0.0000
2.5018 1.4444 4.0855
Se Ba Ta
1 1 1
Cartesian
7.5055 4.3333 3.0641
5.0037 2.8889 2.0428
0.0000 0.0000 0.0000
```



Tell me which of them is the most stable. Sure, it is (i).



(i)
This record from the Alexandria database describes a geometry-optimized BaTaSe structure. The functional is PBE.

Computed properties:
magnetization: 3.82 μB/cell
symmetry: F-43m, No. 216
theoretical density: 5.824 Mg/m³

```
BaTaSe
1.0
5.4308 0.0000 0.0000
2.7154 4.7032 0.0000
2.7154 1.5677 4.4342
Se Ba Ta
1 1 1
Cartesian
0.0000 0.0000 0.0000
8.1462 4.7032 3.3257
5.4308 3.1355 2.2171
```



(ii)
This record from the Alexandria database describes a geometry-optimized BaTaSe structure. The functional is PBE.

Computed properties:
magnetization: 0.81 μB/cell
symmetry: P3m1, No. 156
theoretical density: 8.257 Mg/m³

```
BaTaSe
1.0
-3.1417 -1.1606 -1.3283
3.0978 -1.2723 -1.3289
-0.0934 -5.2399 4.7992
Ba Ta Se
1 1 1
Cartesian
-0.0012 -0.0655 0.0600
-1.1185 -4.3750 1.5815
0.9824 -3.2323 0.5005
```



(iii)
This record from the Alexandria database describes a geometry-optimized BaTaSe structure. The functional is PBE.

Computed properties:
magnetization: 0.00 μB/cell
symmetry: I4mm, No. 107
theoretical density: 8.361 Mg/m³

```
BaTaSe
1.0
-5.5106 -3.7350 -1.5950
-3.4377 -5.9156 0.2266
-2.1301 0.2987 2.7828
Ta Ba Se
1 1 1
Cartesian
-6.9574 -6.7455 -0.1563
-2.1839 0.2203 2.7500
-4.0673 -2.5280 1.6033
```



Tell me which of them is the most stable. Sure, it is (iii).



(i)
This record from the Alexandria database describes a geometry-optimized BaTa3Se structure. The functional is PBE.

Computed properties:
magnetization: 0.00 μB/cell
symmetry: Pm-3m, No. 221
theoretical density: 10.372 Mg/m³

```
BaTa3Se
1.0
-3.8855 3.0029 0.6495
-2.0902 -3.3511 2.9896
2.2517 2.0710 3.8958
Ta Ba Se
3 1 1
Cartesian
-1.9428 1.5015 0.3247
-1.0451 -1.6756 1.4948
1.1259 1.0355 1.9479
-1.8620 0.8614 3.7674
0.0000 0.0000 0.0000
```



(ii)
This record from the Alexandria database describes a geometry-optimized BaTa3Se structure. The functional is PBE.

Computed properties:
magnetization: 0.00 μB/cell
symmetry: Pm-3m, No. 221
theoretical density: 9.426 Mg/m³

```
BaTa3Se
1.0
-0.1313 4.7675 1.8454
-4.4879 0.7765 -2.3254
-2.4481 -1.6792 4.1640
Ta Ba Se
3 1 1
Cartesian
-0.0657 2.3837 0.9227
-2.2439 0.3882 -1.1627
-1.2240 -0.8396 2.0820
0.0000 0.0000 0.0000
-3.5337 1.9323 1.8420
```



Tell me which of them is the most stable. Sure, it is (i).